Entry 1:
# ZnNiOs3

A crystal of ZnNiOs3 relaxed with PBEsol (SCAN, Alexandria via LeMat-Bulk).

Lattice parameters (Å, degrees): 4.3759 4.3759 4.3759 90.00 90.00 90.00
Closest atoms and distances in Å follow each position.
Space group Pm-3m (No. 221)
Inequivalent atoms, fractional coordinates:
Zn: 0.0000 0.0000 0.0000 x1  12 Os 3.09
Ni: 0.5000 0.5000 0.5000 x1  6 Os 2.19
Os: 0.0000 0.5000 0.5000 x3  2 Ni 2.19

## Properties
ΔE to the lowest computed polymorph (kJ per mole of atoms): 0.0
Crystal system: cubic
Volume (Å³ per cell): 84



Entry 2:
# ZnNiOs3

A crystal of ZnNiOs3 relaxed with PBEsol (SCAN, Alexandria via LeMat-Bulk).

Lattice parameters (Å, degrees): 4.3804 4.3804 4.3804 90.00 90.00 90.00
Closest atoms and distances in Å follow each position.
Space group Pm-3m (No. 221)
Inequivalent atoms, fractional coordinates:
Zn: 0.0000 0.0000 0.0000 x1  6 Os 2.19
Ni: 0.5000 0.5000 0.5000 x1  12 Os 3.10
Os: 0.0000 0.0000 0.5000 x3  2 Zn 2.19

## Properties
ΔE to the lowest computed polymorph (kJ per mole of atoms): 41.2
Crystal system: cubic
Volume (Å³ per cell): 84



Entry 3:
# ZnNi2Os

A crystal of ZnNi2Os relaxed with PBEsol (SCAN, Alexandria via LeMat-Bulk).

Lattice parameters (Å, degrees): 2.5901 2.5901 7.1060 90.00 90.00 90.00
Closest atoms and distances in Å follow each position.
Space group P4/mmm (No. 123)
Inequivalent atoms, fractional coordinates:
Zn: 0.0000 0.0000 0.0000 x1  8 Ni 2.55, 4 Zn 2.59
Ni: 0.5000 0.5000 0.2487 x2  4 Zn 2.55, 4 Os 2.56, 4 Ni 2.59
Os: 0.0000 0.0000 0.5000 x1  8 Ni 2.56, 4 Os 2.59

## Properties
Crystal system: tetragonal
Volume (Å³ per cell): 48



Entry 4:
# ZnNi2Os

A crystal of ZnNi2Os relaxed with PBEsol (SCAN, Alexandria via LeMat-Bulk).

Lattice parameters (Å, degrees): 2.7596 4.3140 8.2682 90.00 90.00 90.00
Closest atoms and distances in Å follow each position.
Space group Cmm2 (No. 35)
Inequivalent atoms, fractional coordinates:
Zn: 0.0000 0.0000 0.0000 x2  2 Ni 2.41, 4 Zn 2.56, 2 Os 2.66
Ni: 0.0000 0.0000 0.5259 x2  6 Ni 2.38-2.56, 2 Os 2.49
Ni: 0.0000 0.5000 0.7605 x2  6 Ni 2.38-2.56, 2 Zn 2.41
Os: 0.0000 0.5000 0.2745 x2  2 Ni 2.49, 6 Os 2.56-2.76, 2 Zn 2.66

## Properties
Crystal system: orthorhombic
Volume (Å³ per cell): 98



DFT formation energy
In order: 2.0360; 2.4629; -0.0007; 0.2474
Unit: eV per atom
Raw total energy
In order: -47.03; -46.60; -29.44; -29.19
Unit: eV/atom